a) First-principles (GGA-PBE) data for a relaxed structure of LaSn2Bi2, as listed in Alexandria via LeMat-Bulk.

Summary:
- calculated volume (Å³/cell) = 605.0
- spin magnetization (μB per formula unit) = 0.0

Cell: 4.621 27.164 4.819 Å, 90.00 90.00 90.00°
Space group Cmcm (No. 63)
Unique sites:
La (0.000, 0.151, 0.250) x4
Sn (0.000, 0.049, 0.750) x4
Sn (0.000, 0.456, 0.750) x4
Bi (0.000, 0.249, 0.750) x4
Bi (0.000, 0.360, 0.250) x4

b) First-principles (GGA-PBE) data for a relaxed structure of LaSn2Bi2, as listed in Alexandria via LeMat-Bulk.

Summary:
- calculated volume (Å³/cell) = 312.8
- spin magnetization (μB per formula unit) = 0.0

Cell: 8.521 8.521 4.307 Å, 90.00 90.00 90.00°
Space group P4/mbm (No. 127)
Unique sites:
La (0.000, 0.000, 0.000) x2
Sn (0.125, 0.375, 0.000) x4
Bi (0.187, 0.687, 0.500) x4

c) First-principles (GGA-PBE) data for a relaxed structure of LaSn2Bi2, as listed in Alexandria via LeMat-Bulk.

Summary:
- calculated volume (Å³/cell) = 330.8
- spin magnetization (μB per formula unit) = 0.0

Cell: 4.444 4.444 16.753 Å, 90.00 90.00 90.00°
Space group I4/mmm (No. 139)
Unique sites:
La (0.000, 0.000, 0.000) x2
Sn (0.000, 0.500, 0.250) x4
Bi (0.000, 0.000, 0.407) x4

Short version: a), c), b), most stable first.

a) First-principles (GGA-PBE) data for a relaxed structure of LaSn3Bi, as listed in Alexandria via LeMat-Bulk.

Summary:
- calculated volume (Å³/cell) = 193.6
- spin magnetization (μB per formula unit) = 0.0

Cell: 5.785 5.785 5.785 Å, 90.00 90.00 90.00°
Space group Pm-3m (No. 221)
Unique sites:
La (0.000, 0.000, 0.000) x1
Sn (0.000, 0.500, 0.500) x3
Bi (0.500, 0.500, 0.500) x1

b) First-principles (GGA-PBE) data for a relaxed structure of LaSn3Bi, as listed in Alexandria via LeMat-Bulk.

Summary:
- calculated volume (Å³/cell) = 213.6
- spin magnetization (μB per formula unit) = 0.0

Cell: 5.978 5.978 5.978 Å, 90.00 90.00 90.00°
Space group Pm-3m (No. 221)
Unique sites:
La (0.000, 0.000, 0.000) x1
Sn (0.000, 0.000, 0.500) x3
Bi (0.500, 0.500, 0.500) x1

Short version: a), b), most stable first.

a) First-principles (GGA-PBE) data for a relaxed structure of La2SnBi2, as listed in Alexandria via LeMat-Bulk.

Summary:
- calculated volume (Å³/cell) = 334.4
- spin magnetization (μB per formula unit) = 0.0

Cell: 8.617 8.617 4.504 Å, 90.00 90.00 90.00°
Space group P4/mbm (No. 127)
Unique sites:
La (0.158, 0.342, 0.000) x4
Sn (0.000, 0.000, 0.500) x2
Bi (0.149, 0.649, 0.500) x4

b) First-principles (GGA-PBE) data for a relaxed structure of La2SnBi2, as listed in Alexandria via LeMat-Bulk.

Summary:
- calculated volume (Å³/cell) = 337.8
- spin magnetization (μB per formula unit) = 0.0

Cell: 8.716 8.716 4.447 Å, 90.00 90.00 90.00°
Space group P4/mbm (No. 127)
Unique sites:
La (0.150, 0.350, 0.000) x4
Sn (0.000, 0.000, 0.000) x2
Bi (0.162, 0.662, 0.500) x4

Short version: a), b), most stable first.

a) First-principles (GGA-PBE) data for a relaxed structure of La2Sn4Bi, as listed in Alexandria via LeMat-Bulk.

Summary:
- calculated volume (Å³/cell) = 219.8
- spin magnetization (μB per formula unit) = 0.0

Cell: 4.640 4.640 10.208 Å, 90.00 90.00 90.00°
Space group P-4m2 (No. 115)
Unique sites:
La (0.000, 0.500, 0.248) x2
Sn (0.000, 0.000, 0.500) x1
Sn (0.000, 0.500, 0.777) x2
Sn (0.500, 0.500, 0.500) x1
Bi (0.500, 0.500, 0.000) x1

b) First-principles (GGA-PBE) data for a relaxed structure of La2Sn4Bi, as listed in Alexandria via LeMat-Bulk.

Summary:
- calculated volume (Å³/cell) = 442.4
- spin magnetization (μB per formula unit) = 0.0

Cell: 6.340 6.339 11.452 Å, 90.00 105.99 90.00°
Space group C2/m (No. 12)
Unique sites:
La (0.097, 0.000, 0.193) x4
Sn (0.000, 0.250, 0.500) x4
Sn (0.138, 0.500, 0.277) x4
Bi (0.000, 0.500, 0.000) x2

Short version: a), b), most stable first.